# KTmAg2F6

A relaxed KTmAg2F6 crystal (PBE, Alexandria via LeMat-Bulk).

Computed properties:
Size of the total moment   0.00 μB per formula unit
Energy   -4.864 eV per atom
Energy relative to the elements, uncorrected   -2.61 eV per atom
SG   No. 2

Cell lengths 6.329, 6.326, 6.382 Å; angles 60.23, 60.22, 59.97 degrees
Sites, in units of the cell vectors:
1 Tm 0.316 0.316 0.051
2 F 0.509 0.234 0.296
3 F 0.124 0.399 0.806
4 F 0.961 0.507 0.299
5 F 0.235 0.960 0.296
6 F 0.672 0.125 0.805
7 F 0.397 0.673 0.807
8 Ag 0.095 0.096 0.714
9 Ag 0.537 0.537 0.389
10 K 0.816 0.816 0.552